# 1
Here is an optimized crystal structure of CaNiSnSe2 from the Alexandria database. Energies are from PBE-GGA. Values from VASP.

Quantum ESPRESSO input file:
```
&SYSTEM
  ibrav = 0, nat = 5, ntyp = 4
/
ATOMIC_SPECIES
Ni 58.69 Ni.upf
Ca 40.08 Ca.upf
Sn 118.71 Sn.upf
Se 78.96 Se.upf
ATOMIC_POSITIONS angstrom
Ni 0.000 0.000 0.000
Ca 0.000 2.449 0.000
Sn 2.435 2.449 2.435
Se 0.000 0.000 2.435
Se 2.435 0.000 0.000
CELL_PARAMETERS angstrom
4.869 0.000 0.000
0.000 4.898 0.000
0.000 0.000 4.869
```

- E_form (uncorrected): -0.245 eV per atom
- Relative energy among the computed polymorphs: 0 meV per atom

# 2
Here is an optimized crystal structure of LiCu2Pt from the Alexandria database. Energies are from PBE-GGA. Values from VASP.

Quantum ESPRESSO input file:
```
&SYSTEM
  ibrav = 0, nat = 8, ntyp = 3
/
ATOMIC_SPECIES
Cu 63.55 Cu.upf
Pt 195.08 Pt.upf
Li 6.94 Li.upf
ATOMIC_POSITIONS angstrom
Cu -1.700 0.585 3.089
Cu 0.417 -0.689 3.477
Cu -0.147 2.035 7.387
Cu -1.330 0.570 9.032
Pt 0.000 0.000 0.000
Pt -1.744 1.262 5.551
Li -1.186 -1.458 1.640
Li 0.364 -0.012 5.942
CELL_PARAMETERS angstrom
-3.294 -0.184 1.248
0.922 -2.732 2.031
0.992 4.166 8.214
```

- Relative energy among the computed polymorphs: 298 meV per atom

# 3
Here is an optimized crystal structure of Sm6Tm8In from the Alexandria database. Energies are from PBE-GGA. Values from VASP.

Quantum ESPRESSO input file:
```
&SYSTEM
  ibrav = 0, nat = 15, ntyp = 3
/
ATOMIC_SPECIES
Sm 150.36 Sm.upf
Tm 168.93 Tm.upf
In 114.82 In.upf
ATOMIC_POSITIONS angstrom
Sm 4.315 5.183 -2.150
Sm 4.315 7.379 0.882
Sm 4.315 3.655 1.268
Sm 1.981 2.925 6.831
Sm 1.981 0.730 3.799
Sm 1.981 4.453 3.414
Tm 5.111 0.316 2.288
Tm 5.111 5.969 3.811
Tm 5.111 1.824 7.945
Tm 1.184 7.793 2.393
Tm 1.184 2.139 0.871
Tm 1.184 6.285 -3.264
Tm 5.183 2.703 4.681
Tm 1.112 5.406 0.000
In 3.148 0.000 0.000
CELL_PARAMETERS angstrom
6.296 0.000 0.000
0.000 8.108 -4.681
0.000 0.000 9.363
```

- Relative energy among the computed polymorphs: 56 meV per atom

# 4
Here is an optimized crystal structure of ErPuSc2P4 from the Alexandria database. Energies are from PBE-GGA. Values from VASP.

Quantum ESPRESSO input file:
```
&SYSTEM
  ibrav = 0, nat = 8, ntyp = 4
/
ATOMIC_SPECIES
Er 167.26 Er.upf
Pu 244.00 Pu.upf
Sc 44.96 Sc.upf
P 30.97 P.upf
ATOMIC_POSITIONS angstrom
Er 0.000 4.514 3.076
Pu 1.940 3.335 -0.060
Sc 0.000 2.358 6.272
Sc 1.940 1.179 3.136
P 0.000 6.842 4.595
P 3.881 2.185 1.556
P 1.940 5.660 1.444
P 1.940 3.367 4.708
CELL_PARAMETERS angstrom
3.881 0.000 0.000
0.000 6.670 -0.121
0.000 2.358 6.272
```

- E_tot: -8.069 eV/atom

# 5
Here is an optimized crystal structure of TaIn2Au from the Alexandria database. Energies are from PBE-GGA. Values from VASP.

Quantum ESPRESSO input file:
```
&SYSTEM
  ibrav = 0, nat = 4, ntyp = 3
/
ATOMIC_SPECIES
Au 196.97 Au.upf
In 114.82 In.upf
Ta 180.95 Ta.upf
ATOMIC_POSITIONS angstrom
Au 2.521 1.898 4.208
In 0.000 0.377 4.942
In 2.521 0.380 1.721
Ta 0.000 1.898 2.355
CELL_PARAMETERS angstrom
5.042 0.000 0.000
0.000 3.039 0.001
0.000 -0.002 5.289
```

- Relative energy among the computed polymorphs: 64 meV per atom

# 6
Here is an optimized crystal structure of TaNi4Se from the Alexandria database. Energies are from PBE-GGA. Values from VASP.

Quantum ESPRESSO input file:
```
&SYSTEM
  ibrav = 0, nat = 6, ntyp = 3
/
ATOMIC_SPECIES
Ta 180.95 Ta.upf
Ni 58.69 Ni.upf
Se 78.96 Se.upf
ATOMIC_POSITIONS angstrom
Ta 0.000 0.000 0.000
Ni 0.769 -3.113 5.677
Ni -0.275 -4.844 4.356
Ni -1.635 -3.177 5.454
Ni -0.262 -2.562 3.564
Se -0.526 -5.136 7.144
CELL_PARAMETERS angstrom
2.050 -1.094 4.198
-2.726 -1.221 3.755
-0.025 -4.533 1.573
```

- E_form (uncorrected): 0.016 eV per atom

# 7
Here is an optimized crystal structure of GaGe3Pb from the Alexandria database. Energies are from PBE-GGA. Values from VASP.

Quantum ESPRESSO input file:
```
&SYSTEM
  ibrav = 0, nat = 5, ntyp = 3
/
ATOMIC_SPECIES
Pb 207.20 Pb.upf
Ge 72.64 Ge.upf
Ga 69.72 Ga.upf
ATOMIC_POSITIONS angstrom
Pb 2.503 2.503 2.503
Ge 0.000 2.503 0.000
Ge 0.000 0.000 2.503
Ge 2.503 0.000 0.000
Ga 0.000 0.000 0.000
CELL_PARAMETERS angstrom
5.005 0.000 0.000
0.000 5.005 0.000
0.000 0.000 5.005
```

- Relative energy among the computed polymorphs: 0 meV per atom

# 8
Here is an optimized crystal structure of AcLaPd10 from the Alexandria database. Energies are from PBE-GGA. Values from VASP.

Quantum ESPRESSO input file:
```
&SYSTEM
  ibrav = 0, nat = 12, ntyp = 3
/
ATOMIC_SPECIES
Ac 227.00 Ac.upf
La 138.91 La.upf
Pd 106.42 Pd.upf
ATOMIC_POSITIONS angstrom
Ac 0.000 0.000 0.000
La 0.000 2.716 4.701
Pd 0.000 0.000 3.181
Pd 0.000 2.716 7.782
Pd 0.000 2.716 1.620
Pd 0.000 0.000 6.221
Pd 2.253 0.000 4.701
Pd 2.253 2.716 0.000
Pd 2.253 1.359 2.365
Pd 2.253 4.074 7.037
Pd 2.253 4.074 2.365
Pd 2.253 1.359 7.037
CELL_PARAMETERS angstrom
4.505 0.000 0.000
0.000 5.433 0.000
0.000 0.000 9.402
```

- E_tot: -5.656 eV/atom